#w
VASP calculation (PBE-GGA) on a relaxed structure of ScPS2Cl.

Geometry as POSCAR:
```
ScPS2Cl
1.0
4.803 0.000 0.000
0.000 4.803 0.000
0.000 0.000 5.342
Sc P S Cl
1 1 2 1
Direct
0.000 0.000 0.000
0.000 0.000 0.500
0.000 0.500 0.000
0.500 0.000 0.000
0.500 0.500 0.500
```

Computed properties:
total moment	0.63	Bohr magnetons per cell
density of states at the Fermi level	3.3	states/eV per cell
V	24.6	A^3/atom
SG	P4/mmm, No. 123

***

#x
VASP calculation (PBE-GGA) on a relaxed structure of ScPS2Cl.

Geometry as POSCAR:
```
ScPS2Cl
1.0
4.637 0.000 0.000
0.000 4.637 0.000
0.000 0.000 4.532
Sc P S Cl
1 1 2 1
Direct
0.000 0.000 0.000
0.500 0.500 0.500
0.000 0.500 0.500
0.500 0.000 0.500
0.500 0.500 0.000
```

Computed properties:
total moment	0.47	Bohr magnetons per cell
density of states at the Fermi level	4.1	states/eV per cell
V	19.5	A^3/atom
SG	P4/mmm, No. 123

***

Most stable of them? #x.

***

#w
VASP calculation (PBE-GGA) on a relaxed structure of ScPS2Cl.

Geometry as POSCAR:
```
ScPS2Cl
1.0
4.712 0.000 0.000
0.000 4.712 0.000
0.000 0.000 4.446
Sc P S Cl
1 1 2 1
Direct
0.000 0.000 0.000
0.500 0.500 0.000
0.000 0.500 0.500
0.500 0.000 0.500
0.500 0.500 0.500
```

Computed properties:
total moment	0.00	Bohr magnetons per cell
density of states at the Fermi level	3.8	states/eV per cell
V	19.7	A^3/atom
SG	P4/mmm, No. 123

***

#x
VASP calculation (PBE-GGA) on a relaxed structure of ScPS2Cl.

Geometry as POSCAR:
```
ScPS2Cl
1.0
5.014 0.000 0.000
0.000 5.014 0.000
0.000 0.000 4.778
Sc P S Cl
1 1 2 1
Direct
0.000 0.000 0.000
0.500 0.500 0.500
0.000 0.500 0.000
0.500 0.000 0.000
0.000 0.000 0.500
```

Computed properties:
total moment	1.04	Bohr magnetons per cell
density of states at the Fermi level	2.2	states/eV per cell
V	24.0	A^3/atom
SG	P4/mmm, No. 123

***

Most stable of them? #x.

***

#w
VASP calculation (PBE-GGA) on a relaxed structure of PSeS2Cl.

Geometry as POSCAR:
```
PSeS2Cl
1.0
4.659 0.000 0.000
0.000 4.659 0.000
0.000 0.000 4.513
P Se S Cl
1 1 2 1
Direct
0.000 0.000 0.000
0.500 0.500 0.500
0.000 0.500 0.000
0.500 0.000 0.000
0.000 0.000 0.500
```

Computed properties:
total moment	0.00	Bohr magnetons per cell
density of states at the Fermi level	3.4	states/eV per cell
V	19.6	A^3/atom
SG	P4/mmm, No. 123

***

#x
VASP calculation (PBE-GGA) on a relaxed structure of PSeS2Cl.

Geometry as POSCAR:
```
PSeS2Cl
1.0
4.906 0.000 0.000
0.000 4.906 0.000
0.000 0.000 4.742
P Se S Cl
1 1 2 1
Direct
0.000 0.000 0.000
0.500 0.500 0.500
0.000 0.500 0.500
0.500 0.000 0.500
0.500 0.500 0.000
```

Computed properties:
total moment	1.05	Bohr magnetons per cell
density of states at the Fermi level	2.1	states/eV per cell
V	22.8	A^3/atom
SG	P4/mmm, No. 123

***

#y
VASP calculation (PBE-GGA) on a relaxed structure of PSeS2Cl.

Geometry as POSCAR:
```
PSeS2Cl
1.0
4.742 0.000 0.000
0.000 4.742 0.000
0.000 0.000 5.053
P Se S Cl
1 1 2 1
Direct
0.000 0.000 0.000
0.000 0.000 0.500
0.000 0.500 0.500
0.500 0.000 0.500
0.500 0.500 0.000
```

Computed properties:
total moment	0.00	Bohr magnetons per cell
density of states at the Fermi level	4.2	states/eV per cell
V	22.7	A^3/atom
SG	P4/mmm, No. 123

***

#z
VASP calculation (PBE-GGA) on a relaxed structure of PSeS2Cl.

Geometry as POSCAR:
```
PSeS2Cl
1.0
4.434 0.000 0.000
0.000 4.434 0.000
0.000 0.000 5.394
P Se S Cl
1 1 2 1
Direct
0.000 0.000 0.000
0.500 0.500 0.000
0.000 0.500 0.500
0.500 0.000 0.500
0.000 0.000 0.500
```

Computed properties:
total moment	0.00	Bohr magnetons per cell
density of states at the Fermi level	3.9	states/eV per cell
V	21.2	A^3/atom
SG	P4/mmm, No. 123

***

Most stable of them? #w.

***

#w
VASP calculation (PBE-GGA) on a relaxed structure of P2SeSCl.

Geometry as POSCAR:
```
P2SeSCl
1.0
4.943 0.000 0.000
0.000 4.943 0.000
0.000 0.000 4.695
P Se S Cl
2 1 1 1
Direct
0.000 0.500 0.000
0.500 0.000 0.000
0.000 0.000 0.000
0.500 0.500 0.500
0.000 0.000 0.500
```

Computed properties:
total moment	0.58	Bohr magnetons per cell
density of states at the Fermi level	3.3	states/eV per cell
V	22.9	A^3/atom
SG	P4/mmm, No. 123

***

#x
VASP calculation (PBE-GGA) on a relaxed structure of P2SeSCl.

Geometry as POSCAR:
```
P2SeSCl
1.0
4.923 0.000 0.000
0.000 4.923 0.000
0.000 0.000 4.745
P Se S Cl
2 1 1 1
Direct
0.000 0.500 0.000
0.500 0.000 0.000
0.000 0.000 0.000
0.000 0.000 0.500
0.500 0.500 0.500
```

Computed properties:
total moment	0.75	Bohr magnetons per cell
density of states at the Fermi level	4.2	states/eV per cell
V	23.0	A^3/atom
SG	P4/mmm, No. 123

***

#y
VASP calculation (PBE-GGA) on a relaxed structure of P2SeSCl.

Geometry as POSCAR:
```
P2SeSCl
1.0
4.742 0.000 0.000
0.000 4.742 0.000
0.000 0.000 4.464
P Se S Cl
2 1 1 1
Direct
0.000 0.500 0.000
0.500 0.000 0.000
0.000 0.000 0.500
0.500 0.500 0.000
0.500 0.500 0.500
```

Computed properties:
total moment	0.00	Bohr magnetons per cell
density of states at the Fermi level	3.6	states/eV per cell
V	20.1	A^3/atom
SG	P4/mmm, No. 123

***

#z
VASP calculation (PBE-GGA) on a relaxed structure of P2SeSCl.

Geometry as POSCAR:
```
P2SeSCl
1.0
4.800 0.000 0.000
0.000 4.800 0.000
0.000 0.000 4.415
P Se S Cl
2 1 1 1
Direct
0.000 0.500 0.000
0.500 0.000 0.000
0.000 0.000 0.500
0.500 0.500 0.500
0.500 0.500 0.000
```

Computed properties:
total moment	0.00	Bohr magnetons per cell
density of states at the Fermi level	3.8	states/eV per cell
V	20.3	A^3/atom
SG	P4/mmm, No. 123

***

Most stable of them? #y.